Entry 1:
The following is a DFT calculation (PBE) of a relaxed structure of TcAu2.

Cell and atoms, written as POSCAR:
```
TcAu2
1.0
1.383 -7.588 0.000
1.383 7.588 0.000
0.000 0.000 4.855
Tc Au
2 4
Direct
0.388 0.612 0.750
0.612 0.388 0.250
0.722 0.278 0.750
0.947 0.053 0.250
0.053 0.947 0.750
0.278 0.722 0.250
```

The calculation puts the total energy at -31.1 eV/cell. As for the calculated formation energy: 0.457 eV/atom. The energy above the most stable polymorph in this dataset comes out at 187 meV per atom. The space group is Cmcm (63).

***

Entry 2:
The following is a DFT calculation (PBE) of a relaxed structure of BeReRh.

Cell and atoms, written as POSCAR:
```
BeReRh
1.0
4.477 0.003 0.000
2.291 3.907 0.000
-3.330 1.946 4.199
Be Rh Re
2 2 2
Direct
0.196 0.588 0.628
0.195 0.088 0.628
0.887 0.493 0.820
0.504 0.184 0.437
0.526 0.674 0.128
0.865 0.003 0.128
```

The calculation puts the total energy at -48.7 eV/cell. As for the calculated formation energy: -0.279 eV/atom. The energy above the most stable polymorph in this dataset comes out at 0 meV per atom. The space group is Fmmm (69).

***

Entry 3:
The following is a DFT calculation (PBE) of a relaxed structure of ZrCoSi.

Cell and atoms, written as POSCAR:
```
ZrCoSi
1.0
-0.013 2.810 -2.527
-2.389 -2.976 -3.297
-8.497 3.034 3.418
Si Co Zr
4 4 4
Direct
0.250 0.142 0.967
0.750 0.358 0.467
0.750 0.858 0.033
0.250 0.642 0.533
0.250 0.874 0.166
0.750 0.626 0.666
0.750 0.126 0.834
0.250 0.374 0.334
0.250 0.125 0.642
0.750 0.375 0.142
0.750 0.875 0.358
0.250 0.625 0.858
```

The calculation puts the total energy at -91.2 eV/cell. As for the uncorrected formation energy: -0.5742 eV per atom. The space group is Pnma (62).

***

Entry 4:
The following is a DFT calculation (PBE) of a relaxed structure of Sc4AlAg3.

Cell and atoms, written as POSCAR:
```
Sc4AlAg3
1.0
-2.666 1.356 -1.639
-1.880 -2.732 0.797
-4.027 6.175 11.663
Sc Al Ag
4 1 3
Direct
0.000 0.000 0.876
0.000 0.000 0.124
0.000 0.000 0.374
0.000 0.000 0.626
0.500 0.500 0.000
0.500 0.500 0.246
0.500 0.500 0.500
0.500 0.500 0.754
```

The calculation puts the total energy at -40.2 eV/cell. As for the calculated formation energy: -0.322 eV/atom. The space group is P4/mmm (123).